Here is NdSmMnAg after structural relaxation from the Alexandria database. Energies are from PBE.

Properties
crystal system = cubic
formation enthalpy at 0 K = 0.041 eV per atom
Fermi-level density of states = 3.66 states/eV per cell
total energy = -5.336 eV/atom

CIF file:
```
data_NdSmMnAg
_cell_length_a 5.226
_cell_length_b 5.226
_cell_length_c 5.226
_cell_angle_alpha 60.00
_cell_angle_beta 60.00
_cell_angle_gamma 60.00
_symmetry_space_group_name_H-M 'P 1'
_symmetry_Int_Tables_number 1
loop_
_symmetry_equiv_pos_as_xyz
'x,y,z'
loop_
_atom_site_label
_atom_site_fract_x
_atom_site_fract_y
_atom_site_fract_z
Nd1 0.750 0.750 0.750
Sm1 0.250 0.250 0.250
Ag1 0.000 0.000 0.000
Mn1 0.500 0.500 0.500
```

=====

Here is TmB3C after structural relaxation from the Alexandria database. Energies are from PBE.

Properties
crystal system = monoclinic
formation enthalpy at 0 K = -0.334 eV per atom
Fermi-level density of states = 0.89 states/eV per cell
total energy = -7.080 eV/atom

CIF file:
```
data_TmB3C
_cell_length_a 4.048
_cell_length_b 5.360
_cell_length_c 5.073
_cell_angle_alpha 90.00
_cell_angle_beta 109.49
_cell_angle_gamma 90.00
_symmetry_space_group_name_H-M 'P 1'
_symmetry_Int_Tables_number 1
loop_
_symmetry_equiv_pos_as_xyz
'x,y,z'
loop_
_atom_site_label
_atom_site_fract_x
_atom_site_fract_y
_atom_site_fract_z
Tm1 0.356 0.250 0.708
Tm2 0.644 0.750 0.292
C1 0.592 0.750 0.763
C2 0.408 0.250 0.237
B1 0.936 0.584 0.849
B2 0.779 0.250 0.257
B3 0.064 0.084 0.151
B4 0.936 0.916 0.849
B5 0.221 0.750 0.743
B6 0.064 0.416 0.151
```

=====

Here is HgPdF2 after structural relaxation from the Alexandria database. Energies are from PBE.

Properties
crystal system = orthorhombic
uncorrected formation energy = -0.822 eV/atom
distance to the lowest polymorph of the same formula = 0 meV/atom
Fermi-level density of states = 2.81 states/eV per cell
total energy = -3.132 eV/atom

CIF file:
```
data_HgPdF2
_cell_length_a 3.016
_cell_length_b 5.633
_cell_length_c 5.187
_cell_angle_alpha 122.89
_cell_angle_beta 106.90
_cell_angle_gamma 90.00
_symmetry_space_group_name_H-M 'P 1'
_symmetry_Int_Tables_number 1
loop_
_symmetry_equiv_pos_as_xyz
'x,y,z'
loop_
_atom_site_label
_atom_site_fract_x
_atom_site_fract_y
_atom_site_fract_z
Hg1 0.750 0.250 0.500
F1 0.931 0.931 0.861
F2 0.569 0.569 0.139
Pd1 0.250 0.750 0.500
```

=====

Here is TcF after structural relaxation from the Alexandria database. Energies are from PBE.

Properties
crystal system = cubic
uncorrected formation energy = 0.678 eV/atom
distance to the lowest polymorph of the same formula = 1715 meV/atom
Fermi-level density of states = 12.92 states/eV per cell
total energy = -5.441 eV/atom

CIF file:
```
data_TcF
_cell_length_a 6.624
_cell_length_b 6.624
_cell_length_c 6.624
_cell_angle_alpha 90.00
_cell_angle_beta 90.00
_cell_angle_gamma 90.00
_symmetry_space_group_name_H-M 'P 1'
_symmetry_Int_Tables_number 1
loop_
_symmetry_equiv_pos_as_xyz
'x,y,z'
loop_
_atom_site_label
_atom_site_fract_x
_atom_site_fract_y
_atom_site_fract_z
F1 0.250 0.000 0.500
F2 0.000 0.500 0.250
F3 0.000 0.500 0.750
F4 0.750 0.000 0.500
F5 0.500 0.750 0.000
F6 0.500 0.250 0.000
Tc1 0.000 0.250 0.500
Tc2 0.000 0.750 0.500
Tc3 0.500 0.000 0.750
Tc4 0.500 0.000 0.250
Tc5 0.750 0.500 0.000
Tc6 0.250 0.500 0.000
```

=====

Here is Ac2PrScS6 after structural relaxation from the Alexandria database. Energies are from PBE.

Properties
crystal system = monoclinic
uncorrected formation energy = -2.077 eV/atom
Fermi-level density of states = 0.00 states/eV per cell
total energy = -6.486 eV/atom

CIF file:
```
data_Ac2PrScS6
_cell_length_a 6.931
_cell_length_b 7.520
_cell_length_c 10.113
_cell_angle_alpha 90.00
_cell_angle_beta 88.99
_cell_angle_gamma 90.00
_symmetry_space_group_name_H-M 'P 1'
_symmetry_Int_Tables_number 1
loop_
_symmetry_equiv_pos_as_xyz
'x,y,z'
loop_
_atom_site_label
_atom_site_fract_x
_atom_site_fract_y
_atom_site_fract_z
S1 0.173 0.200 0.435
S2 0.303 0.681 0.438
S3 0.126 0.458 0.737
S4 0.803 0.819 0.938
S5 0.874 0.542 0.263
S6 0.197 0.181 0.062
S7 0.626 0.042 0.237
S8 0.673 0.300 0.935
S9 0.327 0.700 0.065
S10 0.374 0.958 0.763
S11 0.697 0.319 0.562
S12 0.827 0.800 0.565
Ac1 0.969 0.087 0.748
Ac2 0.031 0.913 0.252
Ac3 0.469 0.413 0.248
Ac4 0.531 0.587 0.752
Pr1 0.500 0.000 0.500
Pr2 0.000 0.500 0.000
Sc1 0.500 0.000 0.000
Sc2 0.000 0.500 0.500
```

=====

Here is KLi4Hg3F12 after structural relaxation from the Alexandria database. Energies are from PBE.

Properties
crystal system = cubic
uncorrected formation energy = -2.126 eV/atom
Fermi-level density of states = 12.31 states/eV per cell
total energy = -3.732 eV/atom

CIF file:
```
data_KLi4Hg3F12
_cell_length_a 6.862
_cell_length_b 6.862
_cell_length_c 6.862
_cell_angle_alpha 109.47
_cell_angle_beta 109.47
_cell_angle_gamma 109.47
_symmetry_space_group_name_H-M 'P 1'
_symmetry_Int_Tables_number 1
loop_
_symmetry_equiv_pos_as_xyz
'x,y,z'
loop_
_atom_site_label
_atom_site_fract_x
_atom_site_fract_y
_atom_site_fract_z
F1 0.699 0.803 0.502
F2 0.803 0.104 0.301
F3 0.301 0.197 0.498
F4 0.896 0.699 0.197
F5 0.803 0.502 0.699
F6 0.104 0.301 0.803
F7 0.498 0.301 0.197
F8 0.197 0.498 0.301
F9 0.699 0.197 0.896
F10 0.197 0.896 0.699
F11 0.502 0.699 0.803
F12 0.301 0.803 0.104
K1 0.000 0.000 0.000
Li1 0.000 0.000 0.500
Li2 0.500 0.000 0.000
Li3 0.500 0.500 0.500
Li4 0.000 0.500 0.000
Hg1 0.500 0.500 0.000
Hg2 0.500 0.000 0.500
Hg3 0.000 0.500 0.500
```

=====

Here is CrAsAu after structural relaxation from the Alexandria database. Energies are from PBE.

Properties
crystal system = orthorhombic
formation enthalpy at 0 K = 0.129 eV per atom
distance to the lowest polymorph of the same formula = 0 meV/atom
Fermi-level density of states = 2.78 states/eV per cell
total energy = -5.721 eV/atom

CIF file:
```
data_CrAsAu
_cell_length_a 2.983
_cell_length_b 6.224
_cell_length_c 5.907
_cell_angle_alpha 90.00
_cell_angle_beta 90.00
_cell_angle_gamma 103.86
_symmetry_space_group_name_H-M 'P 1'
_symmetry_Int_Tables_number 1
loop_
_symmetry_equiv_pos_as_xyz
'x,y,z'
loop_
_atom_site_label
_atom_site_fract_x
_atom_site_fract_y
_atom_site_fract_z
Au1 0.796 0.593 0.750
Au2 0.796 0.593 0.250
Cr1 0.452 0.905 0.500
Cr2 0.452 0.905 0.000
As1 0.085 0.169 0.750
As2 0.085 0.169 0.250
```

=====

Here is In8Hg5Bi after structural relaxation from the Alexandria database. Energies are from PBE.

Properties
crystal system = triclinic
formation enthalpy at 0 K = 0.018 eV per atom
Fermi-level density of states = 5.23 states/eV per cell
total energy = -1.932 eV/atom

CIF file:
```
data_In8Hg5Bi
_cell_length_a 3.428
_cell_length_b 11.061
_cell_length_c 10.516
_cell_angle_alpha 92.36
_cell_angle_beta 79.54
_cell_angle_gamma 79.62
_symmetry_space_group_name_H-M 'P 1'
_symmetry_Int_Tables_number 1
loop_
_symmetry_equiv_pos_as_xyz
'x,y,z'
loop_
_atom_site_label
_atom_site_fract_x
_atom_site_fract_y
_atom_site_fract_z
Hg1 0.887 0.969 0.705
Hg2 0.112 0.031 0.295
Hg3 0.002 0.000 0.000
Hg4 0.838 0.355 0.396
Hg5 0.161 0.645 0.604
In1 0.545 0.247 0.155
In2 0.622 0.837 0.451
In3 0.245 0.235 0.870
In4 0.455 0.753 0.845
In5 0.740 0.426 0.690
In6 0.755 0.765 0.130
In7 0.259 0.574 0.309
In8 0.378 0.163 0.549
Bi1 0.501 0.500 0.000
```

=====

Here is Dy3ErN4 after structural relaxation from the Alexandria database. Energies are from PBE.

Properties
crystal system = cubic
uncorrected formation energy = -1.723 eV/atom
Fermi-level density of states = 0.44 states/eV per cell
total energy = -8.182 eV/atom

CIF file:
```
data_Dy3ErN4
_cell_length_a 4.897
_cell_length_b 4.897
_cell_length_c 4.897
_cell_angle_alpha 90.00
_cell_angle_beta 90.00
_cell_angle_gamma 90.00
_symmetry_space_group_name_H-M 'P 1'
_symmetry_Int_Tables_number 1
loop_
_symmetry_equiv_pos_as_xyz
'x,y,z'
loop_
_atom_site_label
_atom_site_fract_x
_atom_site_fract_y
_atom_site_fract_z
Dy1 0.000 0.500 0.500
Dy2 0.500 0.500 0.000
Dy3 0.500 0.000 0.500
N1 0.000 0.500 0.000
N2 0.500 0.000 0.000
N3 0.500 0.500 0.500
N4 0.000 0.000 0.500
Er1 0.000 0.000 0.000
```

=====

Here is LiAc2Al6Pd after structural relaxation from the Alexandria database. Energies are from PBE.

Properties
crystal system = triclinic
formation enthalpy at 0 K = -0.321 eV per atom
Fermi-level density of states = 4.45 states/eV per cell
total energy = -4.099 eV/atom

CIF file:
```
data_LiAc2Al6Pd
_cell_length_a 6.957
_cell_length_b 6.626
_cell_length_c 6.632
_cell_angle_alpha 60.02
_cell_angle_beta 61.36
_cell_angle_gamma 90.00
_symmetry_space_group_name_H-M 'P 1'
_symmetry_Int_Tables_number 1
loop_
_symmetry_equiv_pos_as_xyz
'x,y,z'
loop_
_atom_site_label
_atom_site_fract_x
_atom_site_fract_y
_atom_site_fract_z
Al1 0.350 0.253 0.904
Al2 0.650 0.157 0.098
Al3 0.650 0.747 0.096
Al4 0.350 0.843 0.902
Al5 0.649 0.745 0.507
Al6 0.351 0.255 0.493
Li1 0.500 0.500 0.000
Ac1 0.121 0.708 0.585
Ac2 0.879 0.292 0.415
Pd1 0.000 0.000 0.000
```

=====

Here is Cu5GePd6 after structural relaxation from the Alexandria database. Energies are from PBE.

Properties
crystal system = orthorhombic
formation enthalpy at 0 K = -0.244 eV per atom
distance to the lowest polymorph of the same formula = 4 meV/atom
Fermi-level density of states = 3.25 states/eV per cell
total energy = -4.932 eV/atom

CIF file:
```
data_Cu5GePd6
_cell_length_a 7.394
_cell_length_b 4.307
_cell_length_c 6.795
_cell_angle_alpha 71.52
_cell_angle_beta 79.35
_cell_angle_gamma 54.33
_symmetry_space_group_name_H-M 'P 1'
_symmetry_Int_Tables_number 1
loop_
_symmetry_equiv_pos_as_xyz
'x,y,z'
loop_
_atom_site_label
_atom_site_fract_x
_atom_site_fract_y
_atom_site_fract_z
Pd1 0.756 0.744 0.000
Pd2 0.249 0.589 0.325
Pd3 0.751 0.086 0.325
Pd4 0.751 0.411 0.675
Pd5 0.249 0.914 0.675
Pd6 0.244 0.256 0.000
Cu1 0.000 0.326 0.348
Cu2 0.000 0.674 0.652
Cu3 0.500 0.169 0.662
Cu4 0.500 0.500 0.000
Cu5 0.500 0.831 0.338
Ge1 0.000 0.000 0.000
```

=====

Here is ScNiPd2Pb after structural relaxation from the Alexandria database. Energies are from PBE.

Properties
crystal system = tetragonal
formation enthalpy at 0 K = 0.557 eV per atom
Fermi-level density of states = 4.40 states/eV per cell
total energy = -4.685 eV/atom

CIF file:
```
data_ScNiPd2Pb
_cell_length_a 4.980
_cell_length_b 4.691
_cell_length_c 4.980
_cell_angle_alpha 90.00
_cell_angle_beta 90.00
_cell_angle_gamma 90.00
_symmetry_space_group_name_H-M 'P 1'
_symmetry_Int_Tables_number 1
loop_
_symmetry_equiv_pos_as_xyz
'x,y,z'
loop_
_atom_site_label
_atom_site_fract_x
_atom_site_fract_y
_atom_site_fract_z
Pb1 0.000 0.000 0.000
Sc1 0.500 0.500 0.500
Pd1 0.500 0.000 0.000
Pd2 0.000 0.000 0.500
Ni1 0.000 0.500 0.000
```